Record 1
Entry from Alexandria via LeMat-Bulk: Ca2IrRh after structural relaxation (GGA-PBEsol).

```
Ca2IrRh
1.0
3.4466 0.0000 0.0000
0.0000 3.4466 0.0000
0.0000 0.0000 8.0519
Ca Ir Rh
2 1 1
Cartesian
0.0000 0.0000 0.0000
1.7233 1.7233 3.3137
0.0000 0.0000 5.2689
1.7233 1.7233 6.0739
```

## Properties
ΔH_f (0 K), eV/atom: 0.0544
Electronic total energy, eV/atom: -5.50
V, Å³ per atom: 23.91

Record 2
Entry from Alexandria via LeMat-Bulk: Ca2IrRh after structural relaxation (GGA-PBEsol).

```
Ca2IrRh
1.0
2.9748 0.0000 0.0000
0.0000 4.3650 0.0000
0.0000 0.0000 5.9067
Ca Ir Rh
2 1 1
Cartesian
0.0000 0.0000 0.0000
1.4874 2.1825 2.0155
0.0000 0.0000 3.2421
1.4874 2.1825 4.6387
```

## Properties
ΔH_f (0 K), eV/atom: 0.1494
Electronic total energy, eV/atom: -5.41
V, Å³ per atom: 19.18

Record 3
Entry from Alexandria via LeMat-Bulk: CaIr2Rh after structural relaxation (GGA-PBEsol).

```
CaIr2Rh
1.0
2.7554 0.0000 0.0000
0.0000 3.8976 0.0000
0.0000 0.0000 6.0501
Ca Ir Rh
1 2 1
Cartesian
0.0000 0.0000 0.0000
0.0000 0.0000 2.9721
1.3777 1.9488 1.8410
1.3777 1.9488 4.3944
```

## Properties
ΔH_f (0 K), eV/atom: 0.0739
E above lowest polymorph, eV per formula unit: 0.21
Electronic total energy, eV/atom: -7.41
V, Å³ per atom: 16.24

Record 4
Entry from Alexandria via LeMat-Bulk: CaIr2Rh after structural relaxation (GGA-PBEsol).

```
CaIr2Rh
1.0
2.8050 0.0000 0.0000
0.0000 4.6476 0.0000
0.0000 0.0000 4.7818
Ca Ir Rh
1 2 1
Cartesian
0.0000 0.0000 0.0000
0.0000 2.3238 2.3909
1.4025 0.0000 2.3909
1.4025 2.3238 0.0000
```

## Properties
ΔH_f (0 K), eV/atom: 0.1209
E above lowest polymorph, eV per formula unit: 0.40
Electronic total energy, eV/atom: -7.36
V, Å³ per atom: 15.58

Question: What is the formula in the third record?
Answer: CaIr2Rh

Question: electronic total energy of number 2 (Ca2IrRh)?
Answer: -5.41 eV/atom

Question: The lowest V belongs to which entry?
Answer: number 4

Question: ΔH_f (0 K) of number 3 (CaIr2Rh)?
Answer: 0.0739 eV/atom